VASP calculation (PBE+U) on a geometry-optimized NaCa2CoF8 structure.

Structure (CIF):
```
data_NaCa2CoF8
_chemical_formula_sum 'Na1 Ca2 Co1 F8'
_space_group_name_H-M_alt 'P -1'
_space_group_IT_number 2
_space_group_name_Hall '-P 1'
_cell_length_a 5.0278
_cell_length_b 5.0435
_cell_length_c 6.9503
_cell_angle_alpha 89.71
_cell_angle_beta 89.77
_cell_angle_gamma 89.73
loop_
_atom_site_label
_atom_site_fract_x
_atom_site_fract_y
_atom_site_fract_z
Na1 0.0000 0.0000 0.0000
Ca1 0.4986 0.4993 0.7464
Co1 0.0000 0.0000 0.5000
F1 0.1783 0.1788 0.3036
F2 0.1800 0.1786 0.6986
F3 0.2845 0.7155 0.4996
F4 0.3088 0.6911 0.0001
```

Computed properties:
The total energy comes out at -5.142 eV per atom.